This record from the Alexandria database describes Ba2Zn6IrPt after structural relaxation. The functional is PBE.

Output
D(E_F) ... 0.326 states/eV per atom
Formation enthalpy at 0 K ... -0.3965 eV/atom
Space-group type ... I4/mmm, No. 139
Crystal system ... tetragonal

a = 6.9817 Å, b = 6.9817 Å, c = 6.9817 Å
α = 120.10°, β = 120.10°, γ = 89.83°
Closest atoms and distances in Å follow each position.
Fractional positions:
Ba: 0.2500 0.7500 0.5000  12 Zn 3.49
Ba: 0.7500 0.2500 0.5000  12 Zn 3.49
Zn: 0.2485 0.2485 0.0000  1 Ir 2.46, 1 Pt 2.49
Zn: 0.2486 0.2486 0.4973  1 Ir 2.45, 1 Pt 2.48
Zn: 0.2486 0.7514 0.0000  1 Ir 2.45, 1 Pt 2.48
Zn: 0.7514 0.2486 0.0000  1 Ir 2.45, 1 Pt 2.48
Zn: 0.7515 0.7515 0.0000  1 Ir 2.46, 1 Pt 2.49
Zn: 0.7514 0.7514 0.5027  1 Ir 2.45, 1 Pt 2.48
Ir: 0.0000 0.0000 0.0000  6 Zn 2.45-2.46
Pt: 0.5000 0.5000 0.0000  6 Zn 2.48-2.49

---

This record from the Alexandria database describes UCN after structural relaxation. The functional is PBE.

Output
D(E_F) ... 0.801 states/eV per atom
Space-group type ... I4mm, No. 107
Crystal system ... tetragonal

a = 3.8473 Å, b = 3.8473 Å, c = 3.8473 Å
α = 126.54°, β = 126.54°, γ = 79.00°
Closest atoms and distances in Å follow each position.
Fractional positions:
U: 0.0000 0.0000 0.0000  5 N 2.28-2.54, 5 C 2.30-2.54
C: 0.3881 0.3881 0.0000  1 N 1.35
N: 0.6159 0.6159 0.0000  1 C 1.35

---

This record from the Alexandria database describes ThPaPd after structural relaxation. The functional is PBE.

Output
D(E_F) ... 1.377 states/eV per atom
Offset from the most stable computed form ... 0.09 eV/f.u.
Formation enthalpy at 0 K ... -0.2202 eV/atom
Space-group type ... I4mm, No. 107
Crystal system ... tetragonal

a = 6.2768 Å, b = 6.2768 Å, c = 6.2768 Å
α = 145.99°, β = 145.99°, γ = 48.85°
Closest atoms and distances in Å follow each position.
Fractional positions:
Th: 0.0000 0.0000 0.0000  4 Pd 3.28, 5 Pa 3.28-3.56, 4 Th 3.67
Pa: 0.2873 0.2873 0.0000  4 Pd 2.89
Pd: 0.6752 0.6752 0.0000  4 Pa 2.89

---

This record from the Alexandria database describes Ti2CdRu after structural relaxation. The functional is PBE.

Output
D(E_F) ... 0.832 states/eV per atom
Formation enthalpy at 0 K ... -0.3212 eV/atom
Space-group type ... P4/mmm, No. 123
Crystal system ... tetragonal

a = 3.0918 Å, b = 3.0918 Å, c = 7.0166 Å
α = 90.00°, β = 90.00°, γ = 90.00°
Closest atoms and distances in Å follow each position.
Fractional positions:
Ti: 0.0000 0.0000 0.2152  4 Ru 2.66, 4 Cd 2.96
Ti: 0.0000 0.0000 0.7848  4 Ru 2.66, 4 Cd 2.96
Cd: 0.5000 0.5000 0.5000  8 Ti 2.96, 4 Cd 3.09
Ru: 0.5000 0.5000 0.0000  8 Ti 2.66

---

no.,calculated total energy (eV for the cell shown),theoretical density (g/cm3)
1,-30.36,7.29
2,-30.69,12.33
3,-22.77,12.28
4,-27.27,7.66